No. 1
Material: MgCu2O4
Method: DFT, meta-GGA SCAN
State: single point on PBEsol structure

Structure (extended XYZ):
```
14
Lattice="5.813 -0.092 0.106 -2.839 5.074 -0.106 2.826 1.691 4.792" Properties=species:S:1:pos:R:3 pbc="T T T"
Mg 4.320 0.800 2.449
Mg -0.006 3.383 2.343
Cu 2.928 3.320 4.238
Cu 2.872 3.353 0.555
Cu 1.413 0.846 2.396
Cu 2.907 -0.046 0.053
O -0.093 5.124 3.356
O 2.854 1.573 1.220
O 1.329 4.274 1.125
O -1.383 4.306 1.115
O 7.183 2.367 3.678
O 2.947 5.100 3.572
O 4.471 2.399 3.667
O 5.893 1.549 1.436
```

Output
Symmetry   Imma (74)
Mass density   5.1 g/cm3
M_tot   0.004 μB per atom
Electronic total energy   -137.5 eV/cell
Formation energy from raw total energies   -1208 meV per atom
Energy relative to the lowest polymorph listed for this composition   138 meV per atom
Density of states at the Fermi level   0.38 states/eV per atom

No. 2
Material: Ba2CrMo
Method: DFT, meta-GGA SCAN
State: single point on PBEsol structure

Structure (extended XYZ):
```
4
Lattice="-3.160 1.222 -1.725 -0.468 -3.430 -1.573 -4.700 -2.497 6.842" Properties=species:S:1:pos:R:3 pbc="T T T"
Ba -3.463 -1.840 5.042
Ba -1.236 -0.657 1.800
Cr -1.814 -1.104 -1.649
Mo -4.164 -2.352 1.772
```

Output
Symmetry   P4/mmm (123)
Mass density   5.6 g/cm3
M_tot   2.018 μB per atom
Electronic total energy   -128.0 eV/cell
Formation energy   105 kJ per mole of atoms
Density of states at the Fermi level   0.77 states/eV per atom

No. 3
Material: SrLa2Pb
Method: DFT, meta-GGA SCAN
State: single point on PBEsol structure

Structure (extended XYZ):
```
4
Lattice="4.233 0.000 0.000 0.000 4.233 0.000 0.000 0.000 7.662" Properties=species:S:1:pos:R:3 pbc="T T T"
La 0.000 0.000 0.408
La 2.117 2.117 1.985
Pb 0.000 0.000 3.628
Sr 2.117 2.117 5.473
```

Output
Symmetry   P4mm (99)
Mass density   6.9 g/cm3
M_tot   0.000 μB per atom
Electronic total energy   -185.8 eV/cell
Formation energy   -38 kJ per mole of atoms
Density of states at the Fermi level   0.88 states/eV per atom

No. 4
Material: MgZn3
Method: DFT, meta-GGA SCAN
State: single point on PBEsol structure

Structure (extended XYZ):
```
8
Lattice="-2.204 1.352 -3.402 3.623 -2.172 -3.210 -2.867 -4.742 -0.027" Properties=species:S:1:pos:R:3 pbc="T T T"
Mg 2.248 -1.348 -1.992
Mg -1.161 -2.519 -2.933
Zn -0.125 0.090 -2.567
Zn -1.599 -3.880 -0.506
Zn -0.181 -4.728 -4.446
Zn 1.212 -3.957 -2.358
Zn -0.171 -1.519 -0.493
Zn 1.258 -2.347 -4.432
```

Output
Symmetry   Pmmn (59)
Mass density   5.8 g/cm3
M_tot   0.000 μB per atom
Electronic total energy   -91.9 eV/cell
Formation energy   -11 kJ per mole of atoms
Density of states at the Fermi level   0.26 states/eV per atom

No. 5
Material: AlGaSbN2
Method: DFT, meta-GGA SCAN
State: single point on PBEsol structure

Structure (extended XYZ):
```
5
Lattice="-1.701 0.115 -3.490 -2.339 -2.921 1.043 -3.489 3.442 1.814" Properties=species:S:1:pos:R:3 pbc="T T T"
Sb -3.764 0.318 -0.317
Al -1.745 1.721 0.907
Ga 0.000 0.000 0.000
N -1.169 -1.460 0.522
N -0.851 0.057 -1.745
```

Output
Symmetry   P4/mmm (123)
Mass density   5.2 g/cm3
M_tot   0.352 μB per atom
Electronic total energy   -73.8 eV/cell
Formation energy from raw total energies   1229 meV per atom
Density of states at the Fermi level   0.44 states/eV per atom

No. 6
Material: PrFeNi4
Method: DFT, meta-GGA SCAN
State: single point on PBEsol structure

Structure (extended XYZ):
```
6
Lattice="-0.408 2.885 2.584 2.401 -2.693 3.385 2.519 3.033 -2.988" Properties=species:S:1:pos:R:3 pbc="T T T"
Pr 0.000 0.000 0.000
Fe 2.440 -0.784 1.261
Ni 2.479 1.125 -0.864
Ni 1.057 2.959 -0.201
Ni 3.513 3.128 -0.003
Ni 2.256 1.614 1.489
```

Output
Symmetry   P-6m2 (187)
Mass density   8.7 g/cm3
M_tot   0.722 μB per atom
Electronic total energy   -127.3 eV/cell
Formation energy   -19 kJ per mole of atoms
Density of states at the Fermi level   0.68 states/eV per atom

No. 7
Material: MnPOs2
Method: DFT, meta-GGA SCAN
State: single point on PBEsol structure

Structure (extended XYZ):
```
4
Lattice="2.789 0.000 0.000 -1.331 2.452 0.000 0.000 0.000 8.015" Properties=species:S:1:pos:R:3 pbc="T T T"
Mn 0.729 1.226 0.000
Os 0.000 0.000 2.170
Os 0.000 0.000 5.845
P 0.729 1.226 4.007
```

Output
Symmetry   Cmmm (65)
Mass density   14.1 g/cm3
M_tot   1.031 μB per atom
Electronic total energy   -171.2 eV/cell
Formation energy   30 kJ per mole of atoms
Density of states at the Fermi level   0.59 states/eV per atom

No. 8
Material: NiSbW2
Method: DFT, meta-GGA SCAN
State: single point on PBEsol structure

Structure (extended XYZ):
```
4
Lattice="2.918 0.000 0.000 0.000 4.861 -0.004 0.000 -2.063 4.402" Properties=species:S:1:pos:R:3 pbc="T T T"
Ni 1.459 0.000 0.000
Sb 1.459 1.399 2.199
W 0.000 2.431 -0.002
W 0.000 -1.031 2.201
```

Output
Symmetry   Cmmm (65)
Mass density   14.6 g/cm3
M_tot   0.000 μB per atom
Electronic total energy   -190.3 eV/cell
Formation energy from raw total energies   632 meV per atom
Density of states at the Fermi level   0.54 states/eV per atom